1.
{
  "formula": "SmInO3",
  "functional": "PBE-GGA",
  "state": "relaxed",
  "cell": [[3.796, 0.000, 0.000], [0.000, 5.235, -2.258], [0.000, -0.128, 8.668]],
  "species": ["In", "In", "O", "O", "O", "O", "O", "O", "Sm", "Sm"],
  "frac_coords": [[0.750, 0.847, 0.164], [0.250, 0.689, 0.836], [0.250, 0.328, 0.623], [0.750, 0.208, 0.377], [0.750, 0.690, 0.348], [0.250, 0.967, 0.098], [0.250, 0.846, 0.652], [0.750, 0.569, 0.902], [0.250, 0.450, 0.398], [0.750, 0.086, 0.602]],
  "mass_density_g_cm3": 6.077
}

---

2.
{
  "formula": "Tb2SmInO",
  "functional": "PBE-GGA",
  "state": "relaxed",
  "cell": [[4.921, 0.000, 0.000], [0.000, 4.804, 0.000], [0.000, 0.000, 4.804]],
  "species": ["Tb", "Tb", "In", "O", "Sm"],
  "frac_coords": [[0.000, 0.000, 0.500], [0.000, 0.500, 0.000], [0.500, 0.500, 0.500], [0.000, 0.000, 0.000], [0.500, 0.000, 0.000]],
  "mass_density_g_cm3": 8.760
}

---

3.
{
  "formula": "SmIn2TcO8",
  "functional": "PBE-GGA",
  "state": "relaxed",
  "cell": [[4.992, -0.037, -0.003], [-0.014, 4.982, -0.006], [0.004, 0.007, 6.653]],
  "species": ["Sm", "O", "O", "O", "O", "O", "O", "O", "O", "In", "In", "Tc"],
  "frac_coords": [[0.000, 0.000, 0.500], [0.183, 0.815, 0.797], [0.685, 0.687, 0.500], [0.283, 0.282, 0.000], [0.717, 0.718, 0.000], [0.817, 0.185, 0.797], [0.183, 0.815, 0.203], [0.315, 0.313, 0.500], [0.817, 0.185, 0.203], [0.500, 0.500, 0.752], [0.500, 0.500, 0.248], [0.000, 0.000, 0.000]],
  "mass_density_g_cm3": 6.081
}

---

4.
{
  "formula": "SmIn2TeO8",
  "functional": "PBE-GGA",
  "state": "relaxed",
  "cell": [[4.902, -0.026, -0.003], [0.004, 4.905, -0.005], [0.004, 0.007, 6.885]],
  "species": ["O", "O", "O", "O", "O", "O", "O", "O", "In", "In", "Te", "Sm"],
  "frac_coords": [[0.814, 0.186, 0.788], [0.186, 0.814, 0.212], [0.814, 0.186, 0.212], [0.714, 0.714, 0.000], [0.677, 0.677, 0.500], [0.286, 0.286, 0.000], [0.186, 0.814, 0.788], [0.323, 0.323, 0.500], [0.500, 0.500, 0.761], [0.500, 0.500, 0.239], [0.000, 0.000, 0.000], [0.000, 0.000, 0.500]],
  "mass_density_g_cm3": 6.375
}

---

The records above yield E_form (uncorrected) values of -2441, -1431, -1737, -1615 meV per atom, respectively.